Record 1
5
Lattice="-0.089 -3.877 2.857 3.187 -2.190 -2.873 3.611 1.837 2.605" Properties=species:S:1:pos:R:3 comment="Si3SnW, optimized geometry, DFT PBE" space_group="Pm-3m (221)" crystal_system=cubic e_above_lowest_polymorph_ev_per_fu=0.00 dos_at_fermi_per_ev_atom=0.7971 volume_a3_per_atom=22.353 formation_energy_uncorrected_kcal_per_mol_atoms=14.41 pbc="T T T"
W 0.000 0.000 0.000
Si 1.593 -1.095 -1.436
Si 1.806 0.919 1.303
Si -0.044 -1.938 1.429
Sn 3.355 -2.115 1.295

=====

Record 2
8
Lattice="6.212 0.000 0.000 0.000 6.212 0.000 3.106 3.106 6.163" Properties=species:S:1:pos:R:3 comment="SiSn2W, optimized geometry, DFT PBE" space_group="I-42d (122)" crystal_system=tetragonal dos_at_fermi_per_ev_atom=0.1036 volume_a3_per_atom=29.725 formation_energy_uncorrected_kcal_per_mol_atoms=27.36 pbc="T T T"
Sn 7.765 7.702 4.622
Sn 1.616 4.659 1.541
Sn 4.596 1.553 1.541
Sn 4.659 4.722 4.622
Si 3.106 6.212 3.081
Si 3.106 3.106 0.000
W 0.000 0.000 0.000
W 6.212 3.106 3.081

=====

Record 3
5
Lattice="4.905 0.000 0.000 0.000 4.905 0.000 0.000 0.000 4.905" Properties=species:S:1:pos:R:3 comment="Si3SnW, optimized geometry, DFT PBE" space_group="Pm-3m (221)" crystal_system=cubic e_above_lowest_polymorph_ev_per_fu=8.28 dos_at_fermi_per_ev_atom=1.3415 volume_a3_per_atom=23.601 formation_energy_uncorrected_kcal_per_mol_atoms=52.58 pbc="T T T"
Si 2.452 0.000 0.000
Si 0.000 0.000 2.452
Si 0.000 2.452 0.000
W 2.452 2.452 2.452
Sn 0.000 0.000 0.000

=====

Record 4
5
Lattice="5.720 0.000 0.000 0.000 5.720 0.000 0.000 0.000 5.720" Properties=species:S:1:pos:R:3 comment="YSiSn3, optimized geometry, DFT PBE" space_group="Pm-3m (221)" crystal_system=cubic e_above_lowest_polymorph_ev_per_fu=3.28 dos_at_fermi_per_ev_atom=0.6761 volume_a3_per_atom=37.427 formation_energy_uncorrected_kcal_per_mol_atoms=21.32 pbc="T T T"
Y 0.000 0.000 0.000
Sn 0.000 2.860 0.000
Sn 0.000 0.000 2.860
Sn 2.860 0.000 0.000
Si 2.860 2.860 2.860

=====

Record 5
18
Lattice="8.005 -0.049 -2.930 -4.258 6.995 -2.367 -0.097 0.049 8.524" Properties=species:S:1:pos:R:3 comment="Y6Si2Sn, optimized geometry, DFT PBE" space_group="Immm (71)" crystal_system=orthorhombic dos_at_fermi_per_ev_atom=0.7170 volume_a3_per_atom=26.391 formation_energy_uncorrected_kcal_per_mol_atoms=-14.54 pbc="T T T"
Y 5.339 1.643 -2.597
Y 4.166 5.016 -2.792
Y -0.286 4.324 0.404
Y 3.936 2.671 2.822
Y 3.076 5.303 0.602
Y -0.516 1.979 6.019
Y 2.502 1.930 -0.439
Y 5.494 0.151 0.619
Y -1.844 6.844 2.607
Y -1.689 5.352 5.823
Y 1.148 5.065 3.666
Y 0.574 1.692 2.625
Si 2.934 0.000 2.075
Si 1.371 4.287 -1.938
Si 4.974 0.000 3.519
Si 2.279 2.709 5.164
Sn 0.000 0.000 0.000
Sn -2.178 3.522 3.078

=====

Record 6
5
Lattice="-3.661 -1.060 -3.562 2.923 -3.909 -1.842 -2.295 -3.288 3.337" Properties=species:S:1:pos:R:3 comment="YSiSn3, optimized geometry, DFT PBE" space_group="Pm-3m (221)" crystal_system=cubic e_above_lowest_polymorph_ev_per_fu=0.00 dos_at_fermi_per_ev_atom=0.9837 volume_a3_per_atom=28.395 formation_energy_uncorrected_kcal_per_mol_atoms=6.21 pbc="T T T"
Si 0.000 0.000 0.000
Sn 1.462 -1.954 -0.921
Sn -1.831 -0.530 -1.781
Sn -1.147 -1.644 1.668
Y -1.516 -4.128 -1.033

=====

Record 7
8
Lattice="-0.827 -5.701 4.950 7.015 -2.422 -1.617 4.254 -2.234 3.964" Properties=species:S:1:pos:R:3 comment="YSi2Sn, optimized geometry, DFT PBE" space_group="I-42d (122)" crystal_system=tetragonal dos_at_fermi_per_ev_atom=0.7801 volume_a3_per_atom=22.760 formation_energy_uncorrected_kcal_per_mol_atoms=0.02 pbc="T T T"
Si 1.404 -4.557 3.998
Si 8.768 -8.839 5.852
Si 5.347 -4.665 4.261
Si 5.364 -2.652 0.484
Y 7.181 -4.358 2.007
Y 3.094 -4.061 1.667
Sn 3.260 -5.998 5.291
Sn 0.000 0.000 0.000

=====

Record 8
5
Lattice="-5.319 -0.146 -0.071 0.120 -5.101 1.510 -0.110 1.508 5.102" Properties=species:S:1:pos:R:3 comment="Y3SiSn, optimized geometry, DFT PBE" space_group="Pm-3m (221)" crystal_system=cubic e_above_lowest_polymorph_ev_per_fu=0.00 dos_at_fermi_per_ev_atom=0.4844 volume_a3_per_atom=30.142 formation_energy_uncorrected_kcal_per_mol_atoms=-10.27 pbc="T T T"
Y 0.060 -2.551 0.755
Y -0.055 0.754 2.551
Y -2.660 -0.073 -0.036
Sn -2.654 -1.870 3.271
Si 0.000 0.000 0.000